An optimized crystal structure of PaInIrAu, computed with GGA-PBE.

Cell: 4.891 4.891 4.891 Å, 60.00 60.00 60.00°
Fractional positions:
1 Au 0.750 0.750 0.750
2 Pa 0.500 0.500 0.500
3 Ir 0.250 0.250 0.250
4 In 0.000 0.000 0.000

The space group is F-43m, No. 216. The calculation puts the formation energy at -0.396 eV per atom. As for the density: 14.75 g cm⁻³. Its total energy is -25.96 eV per formula unit.